VASP calculation (PBE) on an optimized crystal structure of Tl2ZnMo.

Output
Space-group type = P4/mmm
ΔE_f = 0.624 eV per atom
Energy above the most stable polymorph in this dataset = 0.1497 eV per atom

```
4
Lattice="5.2260 0.0000 0.0000 0.0000 5.2260 0.0000 0.0000 0.0000 3.0038" Properties=species:S:1:pos:R:3 pbc="T T T"
Mo 0.0000 2.6130 1.5019
Tl 0.0000 0.0000 0.0000
Tl 2.6130 2.6130 0.0000
Zn 2.6130 0.0000 1.5019
```